1:
Here is a geometry-optimized Sc2CdAs structure from the Alexandria database. Energies are from GGA-PBEsol.

The space group is R-3m (No. 166, hexagonal axes) and the conventional cell measures 3.1907, 3.1907 and 30.3111 Å, with angles of 90.00, 90.00 and 120.00 degrees. The distinct sites, in fractional coordinates, are Sc at (0.0000, 0.0000, 0.0870), Cd at (0.0000, 0.0000, 0.5000) and As at (0.0000, 0.0000, 0.0000).

The density of states at the Fermi level comes out at 10.344 states/eV/cell. The calculation puts the volume at 22.271 A^3/atom.


2:
Here is a geometry-optimized Sc2CdAs structure from the Alexandria database. Energies are from GGA-PBEsol.

The space group is P2/m (No. 10) and the conventional cell measures 3.517, 3.519 and 6.306 Å, with angles of 90.00, 90.50 and 90.00 degrees. The distinct sites, in fractional coordinates, are Sc at (0.004, 0.000, 0.271), Cd at (0.500, 0.500, 0.000) and As at (0.500, 0.500, 0.500).

The density of states at the Fermi level comes out at 3.160 states/eV/cell. The calculation puts the volume at 19.508 A^3/atom.


Of them, 2 has the highest stability.


1:
Here is a geometry-optimized CdSi2As structure from the Alexandria database. Energies are from GGA-PBEsol.

The space group is Immm (No. 71) and the conventional cell measures 3.337, 4.580 and 9.375 Å, with angles of 90.00, 90.00 and 90.00 degrees. The distinct sites, in fractional coordinates, are Cd at (0.000, 0.000, 0.000), Si at (0.000, 0.500, 0.219) and As at (0.000, 0.000, 0.500).

The density of states at the Fermi level comes out at 2.833 states/eV/cell. The calculation puts the volume at 17.913 A^3/atom.


2:
Here is a geometry-optimized CdSi2As structure from the Alexandria database. Energies are from GGA-PBEsol.

The space group is Imm2 (No. 44) and the conventional cell measures 3.358, 4.547 and 9.432 Å, with angles of 90.00, 90.00 and 90.00 degrees. The distinct sites, in fractional coordinates, are Cd at (0.000, 0.000, 0.000), Si at (0.000, 0.000, 0.503), Si at (0.000, 0.500, 0.798) and As at (0.000, 0.500, 0.205).

The density of states at the Fermi level comes out at 2.966 states/eV/cell. The calculation puts the volume at 18.004 A^3/atom.


Of them, 2 has the highest stability.


1:
Here is a geometry-optimized Sr2CdAs structure from the Alexandria database. Energies are from GGA-PBEsol.

The space group is Fm-3m (No. 225) and the conventional cell measures 7.725, 7.725 and 7.725 Å, with angles of 90.00, 90.00 and 90.00 degrees. The distinct sites, in fractional coordinates, are Sr at (0.250, 0.250, 0.250), Cd at (0.000, 0.000, 0.000) and As at (0.000, 0.000, 0.500).

The density of states at the Fermi level comes out at 11.852 states/eV/cell. The calculation puts the volume at 28.816 A^3/atom.


2:
Here is a geometry-optimized Sr2CdAs structure from the Alexandria database. Energies are from GGA-PBEsol.

The space group is R3m (No. 160, hexagonal axes) and the conventional cell measures 4.3968, 4.3968 and 25.5336 Å, with angles of 90.00, 90.00 and 120.00 degrees. The distinct sites, in fractional coordinates, are Sr at (0.0000, 0.0000, 0.0000), Sr at (0.0000, 0.0000, 0.1859), Cd at (0.0000, 0.0000, 0.4406) and As at (0.0000, 0.0000, 0.7350).

The density of states at the Fermi level comes out at 8.763 states/eV/cell. The calculation puts the volume at 35.624 A^3/atom.


3:
Here is a geometry-optimized Sr2CdAs structure from the Alexandria database. Energies are from GGA-PBEsol.

The space group is Amm2 (No. 38) and the conventional cell measures 4.496, 4.539 and 11.809 Å, with angles of 90.00, 90.00 and 90.00 degrees. The distinct sites, in fractional coordinates, are Sr at (0.000, 0.000, 0.000), Sr at (0.500, 0.000, 0.278), Cd at (0.000, 0.000, 0.712) and As at (0.500, 0.000, 0.557).

The density of states at the Fermi level comes out at 2.710 states/eV/cell. The calculation puts the volume at 30.124 A^3/atom.


Of them, 3 has the highest stability.